# 1
A plane-wave DFT calculation with meta-GGA SCAN was carried out for a PBEsol-optimized structure of Cs2SrMnTe.

Values from the calculation:
Total magnetization: 3.85 μB per formula unit
E_tot: -30.6161 eV/atom

Cell lengths 7.2340, 7.2340, 5.0149 Å; angles 90.00, 90.00, 90.00 degrees
Last column: nearest neighbours and their distance in Å.
Space group P4/mmm (No. 123)
Unique sites:
Cs (0.0000, 0.5000, 0.0000) (multiplicity 2)  2 Mn 3.62
Sr (0.0000, 0.0000, 0.5000) (multiplicity 1)  8 Cs 4.40
Mn (0.5000, 0.5000, 0.0000) (multiplicity 1)  2 Te 2.51
Te (0.5000, 0.5000, 0.5000) (multiplicity 1)  2 Mn 2.51

---

# 2
A plane-wave DFT calculation with meta-GGA SCAN was carried out for a PBEsol-optimized structure of CaTe2OsN.

Values from the calculation:
Total magnetization: 4.31 μB per formula unit
E_tot: -31.3502 eV/atom

Cell lengths 5.5669, 5.5669, 4.0561 Å; angles 90.00, 90.00, 90.00 degrees
Last column: nearest neighbours and their distance in Å.
Space group P4/mmm (No. 123)
Unique sites:
Ca (0.0000, 0.0000, 0.0000) (multiplicity 1)  2 N 2.03
Te (0.0000, 0.5000, 0.0000) (multiplicity 2)  2 Ca 2.78
Os (0.5000, 0.5000, 0.5000) (multiplicity 1)  8 Te 3.44
N (0.0000, 0.0000, 0.5000) (multiplicity 1)  2 Ca 2.03

---

# 3
A plane-wave DFT calculation with meta-GGA SCAN was carried out for a PBEsol-optimized structure of KTc2Ru2.

Values from the calculation:
Total magnetization: 0.00 μB per formula unit
DFT formation energy: 646 meV per atom

Cell lengths 4.3004, 4.3004, 10.0224 Å; angles 90.00, 90.00, 90.00 degrees
Last column: nearest neighbours and their distance in Å.
Space group I4/mmm (No. 139)
Unique sites:
K (0.0000, 0.0000, 0.0000) (multiplicity 2)  8 Tc 3.30, 10 Ru 3.32-3.67
Tc (0.0000, 0.5000, 0.2500) (multiplicity 4)  4 Ru 2.45
Ru (0.0000, 0.0000, 0.3662) (multiplicity 4)  4 Tc 2.45, 1 Ru 2.68

---

# 4
A plane-wave DFT calculation with meta-GGA SCAN was carried out for a PBEsol-optimized structure of ZnCr2Si.

Values from the calculation:
Total magnetization: 0.01 μB per formula unit
E_tot: -15.0856 eV/atom

Cell lengths 5.7373, 5.7373, 5.7373 Å; angles 90.00, 90.00, 90.00 degrees
Last column: nearest neighbours and their distance in Å.
Space group F-43m (No. 216)
Unique sites:
Zn (0.0000, 0.0000, 0.0000) (multiplicity 4)  4 Cr 2.48, 4 Si 2.48
Cr (0.0000, 0.0000, 0.5000) (multiplicity 4)  4 Si 2.48, 4 Cr 2.48
Cr (0.2500, 0.2500, 0.7500) (multiplicity 4)  4 Cr 2.48, 4 Zn 2.48
Si (0.2500, 0.2500, 0.2500) (multiplicity 4)  4 Zn 2.48, 4 Cr 2.48